Density functional theory data (meta-GGA SCAN) for As3Rh at its PBEsol-relaxed geometry.

```
As3Rh
1.0
-2.738 1.697 0.262
-2.306 -3.412 -1.984
-0.184 -0.985 4.460
As Rh
3 1
Direct
0.500 0.000 0.500
0.500 0.500 0.000
0.000 0.500 0.500
0.000 0.000 0.000
```

Calculated values
E_form: 180 meV per atom
Distance to the lowest polymorph of the same formula: 726 meV per atom

Density functional theory data (meta-GGA SCAN) for InGeW2N at its PBEsol-relaxed geometry.

```
InGeW2N
1.0
3.802 0.000 0.000
0.000 5.018 0.000
0.000 0.000 5.018
W N Ge In
2 1 1 1
Direct
0.000 0.500 0.000
0.000 0.000 0.500
0.500 0.000 0.000
0.500 0.500 0.500
0.000 0.000 0.000
```

Calculated values
Formation energy (no corrections): 2889 meV/atom

Density functional theory data (meta-GGA SCAN) for Ti3VCu2P6O24 at its PBEsol-relaxed geometry.

```
Ti3VCu2P6O24
1.0
-3.763 -7.632 -0.910
-0.020 -5.563 6.503
-7.206 -1.737 4.123
O P Ti Cu V
24 6 3 2 1
Direct
0.624 0.000 0.565
0.123 0.308 0.069
0.914 0.268 0.763
0.585 0.445 0.737
0.558 0.766 0.265
0.686 0.505 0.932
0.268 0.054 0.763
0.736 0.944 0.237
0.378 0.003 0.433
0.000 0.811 0.565
0.505 0.877 0.932
0.944 0.082 0.237
0.233 0.585 0.737
0.308 0.499 0.069
0.003 0.186 0.433
0.186 0.378 0.433
0.445 0.233 0.737
0.877 0.686 0.932
0.811 0.624 0.565
0.082 0.736 0.237
0.054 0.914 0.763
0.766 0.411 0.265
0.499 0.123 0.069
0.411 0.558 0.265
0.542 0.960 0.251
0.749 0.463 0.748
0.463 0.039 0.748
0.960 0.247 0.251
0.039 0.749 0.748
0.247 0.542 0.251
0.359 0.359 0.922
0.640 0.640 0.080
0.140 0.140 0.580
0.002 0.002 0.995
0.500 0.500 0.501
0.860 0.860 0.421
```

Calculated values
Formation energy (no corrections): -2537 meV/atom

Density functional theory data (meta-GGA SCAN) for CdSbW at its PBEsol-relaxed geometry.

```
CdSbW
1.0
-1.817 2.497 0.379
-0.980 -2.387 -1.738
-2.957 -3.038 5.840
Sb W Cd
1 1 1
Direct
0.333 0.667 0.634
0.667 0.333 0.341
0.000 0.000 0.024
```

Calculated values
Formation energy (no corrections): 693 meV/atom
Distance to the lowest polymorph of the same formula: 0 meV per atom

Density functional theory data (meta-GGA SCAN) for TaVCu6S8 at its PBEsol-relaxed geometry.

```
TaVCu6S8
1.0
5.365 0.000 0.000
0.000 7.584 0.000
0.000 0.000 7.584
V Cu S Ta
1 6 8 1
Direct
0.000 0.500 0.500
0.500 0.500 0.500
0.000 0.746 0.746
0.500 0.000 0.000
0.000 0.746 0.254
0.000 0.254 0.254
0.000 0.254 0.746
0.247 0.249 0.000
0.753 0.000 0.249
0.247 0.751 0.000
0.238 0.736 0.500
0.762 0.500 0.264
0.238 0.264 0.500
0.753 0.000 0.751
0.762 0.500 0.736
0.000 0.000 0.000
```

Calculated values
Formation energy (no corrections): -699 meV/atom

Density functional theory data (meta-GGA SCAN) for CdTcAu2 at its PBEsol-relaxed geometry.

```
CdTcAu2
1.0
-1.966 3.310 0.757
-3.581 -2.013 -0.498
-0.032 -0.940 4.030
Au Tc Cd
2 1 1
Direct
0.000 0.500 0.000
0.000 0.000 0.500
0.500 0.000 0.000
0.500 0.500 0.500
```

Calculated values
E_form: 254 meV per atom

| no. | size of the total moment (μB per atom) | energy (eV per atom) |
| --- | --- | --- |
| 1 | 0.000 | -23.41 |
| 2 | 0.410 | -37.34 |
| 3 | 0.036 | -11.09 |
| 4 | 0.000 | -45.09 |
| 5 | 0.000 | -16.47 |
| 6 | 0.523 | -50.69 |